i.
The following is a PBE-GGA calculation of a relaxed structure of TmTc2W, from Alexandria via LeMat-Bulk. Values from VASP.

Summary:
Symmetry: Fm-3m
Density of states at the Fermi level, states/eV/atom: 1.191

Structure (Quantum ESPRESSO input):
```
&SYSTEM
  ibrav = 0, nat = 4, ntyp = 3
/
ATOMIC_SPECIES
Tm 168.93 Tm.upf
Tc 98.00 Tc.upf
W 183.84 W.upf
CELL_PARAMETERS angstrom
4.564 0.000 0.000
2.282 3.953 0.000
2.282 1.318 3.727
ATOMIC_POSITIONS angstrom
Tm 0.000 0.000 0.000
Tc 6.847 3.953 2.795
Tc 2.282 1.318 0.932
W 4.564 2.635 1.864
```

=====

ii.
The following is a PBE-GGA calculation of a relaxed structure of TmTc2W, from Alexandria via LeMat-Bulk. Values from VASP.

Summary:
Symmetry: P4/mmm
Density of states at the Fermi level, states/eV/atom: 0.960

Structure (Quantum ESPRESSO input):
```
&SYSTEM
  ibrav = 0, nat = 4, ntyp = 3
/
ATOMIC_SPECIES
Tm 168.93 Tm.upf
Tc 98.00 Tc.upf
W 183.84 W.upf
CELL_PARAMETERS angstrom
3.213 0.000 0.000
0.000 4.586 0.000
0.000 0.000 4.586
ATOMIC_POSITIONS angstrom
Tm 1.607 2.293 2.293
Tc 0.000 0.000 2.293
Tc 0.000 2.293 0.000
W 1.607 0.000 0.000
```

=====

iii.
The following is a PBE-GGA calculation of a relaxed structure of TmTc2W, from Alexandria via LeMat-Bulk. Values from VASP.

Summary:
Symmetry: P4/mmm
Density of states at the Fermi level, states/eV/atom: 0.911

Structure (Quantum ESPRESSO input):
```
&SYSTEM
  ibrav = 0, nat = 4, ntyp = 3
/
ATOMIC_SPECIES
Tm 168.93 Tm.upf
Tc 98.00 Tc.upf
W 183.84 W.upf
CELL_PARAMETERS angstrom
-0.921 2.522 -1.741
-1.821 -1.912 -1.807
-5.187 0.991 4.179
ATOMIC_POSITIONS angstrom
Tm -3.965 0.800 0.315
Tc -4.040 0.772 3.255
Tc -1.148 0.219 0.924
W -1.371 0.305 -1.774
```

=====

iii wins, 3.2 kJ/mol of atoms ahead of the next structure.

=====

i.
The following is a PBE-GGA calculation of a relaxed structure of YTm2Tc, from Alexandria via LeMat-Bulk. Values from VASP.

Summary:
Symmetry: R-3m
Density of states at the Fermi level, states/eV/atom: 0.931

Structure (Quantum ESPRESSO input):
```
&SYSTEM
  ibrav = 0, nat = 4, ntyp = 3
/
ATOMIC_SPECIES
Y 88.91 Y.upf
Tm 168.93 Tm.upf
Tc 98.00 Tc.upf
CELL_PARAMETERS angstrom
-1.698 0.280 -4.492
-3.143 -3.275 -1.592
-5.369 1.830 -0.432
ATOMIC_POSITIONS angstrom
Y -5.105 -0.582 -3.258
Tm -2.284 -0.493 -1.743
Tm -7.926 -0.671 -4.773
Tc 0.000 0.000 0.000
```

=====

ii.
The following is a PBE-GGA calculation of a relaxed structure of YTm2Tc, from Alexandria via LeMat-Bulk. Values from VASP.

Summary:
Symmetry: Pnma
Density of states at the Fermi level, states/eV/atom: 0.789

Structure (Quantum ESPRESSO input):
```
&SYSTEM
  ibrav = 0, nat = 16, ntyp = 3
/
ATOMIC_SPECIES
Y 88.91 Y.upf
Tm 168.93 Tm.upf
Tc 98.00 Tc.upf
CELL_PARAMETERS angstrom
6.159 0.000 0.000
0.000 7.502 0.000
0.000 0.000 8.981
ATOMIC_POSITIONS angstrom
Y 3.843 4.050 2.245
Y 5.395 0.300 2.245
Y 2.316 3.451 6.735
Y 0.763 7.202 6.735
Tm 0.929 5.062 0.565
Tm 2.150 1.312 3.926
Tm 5.230 2.439 5.055
Tm 4.008 6.190 8.416
Tm 5.230 2.439 8.416
Tm 4.008 6.190 5.055
Tm 0.929 5.062 3.926
Tm 2.150 1.312 0.565
Tc 0.329 2.873 2.245
Tc 2.750 6.624 2.245
Tc 5.829 4.628 6.735
Tc 3.409 0.878 6.735
```

=====

ii wins, 26.6 kJ/mol of atoms ahead of the next structure.

=====

i.
The following is a PBE-GGA calculation of a relaxed structure of Tm4ZnTc, from Alexandria via LeMat-Bulk. Values from VASP.

Summary:
Symmetry: P4/mmm
Density of states at the Fermi level, states/eV/atom: 1.219

Structure (Quantum ESPRESSO input):
```
&SYSTEM
  ibrav = 0, nat = 6, ntyp = 3
/
ATOMIC_SPECIES
Tm 168.93 Tm.upf
Zn 65.41 Zn.upf
Tc 98.00 Tc.upf
CELL_PARAMETERS angstrom
3.480 -0.001 0.000
0.001 3.480 0.000
-0.001 -0.001 12.056
ATOMIC_POSITIONS angstrom
Tm 1.740 1.739 10.318
Tm 1.741 1.740 1.739
Tm 3.480 3.479 7.606
Tm 0.000 0.000 4.450
Zn 0.000 0.000 0.000
Tc 1.740 1.739 6.028
```

=====

ii.
The following is a PBE-GGA calculation of a relaxed structure of Tm4ZnTc, from Alexandria via LeMat-Bulk. Values from VASP.

Summary:
Symmetry: R-3m
Density of states at the Fermi level, states/eV/atom: 1.007

Structure (Quantum ESPRESSO input):
```
&SYSTEM
  ibrav = 0, nat = 6, ntyp = 3
/
ATOMIC_SPECIES
Tm 168.93 Tm.upf
Zn 65.41 Zn.upf
Tc 98.00 Tc.upf
CELL_PARAMETERS angstrom
4.936 0.000 0.000
2.468 4.266 0.248
2.468 0.981 7.643
ATOMIC_POSITIONS angstrom
Tm 4.936 2.798 0.954
Tm 4.936 2.449 6.937
Tm 2.468 1.141 4.900
Tm 7.404 4.106 2.991
Zn 4.936 2.624 3.945
Tc 0.000 0.000 0.000
```

=====

i wins, 14.3 kJ/mol of atoms ahead of the next structure.

=====

i.
The following is a PBE-GGA calculation of a relaxed structure of Tm8Zn2Tc, from Alexandria via LeMat-Bulk. Values from VASP.

Summary:
Symmetry: Immm
Density of states at the Fermi level, states/eV/atom: 0.742

Structure (Quantum ESPRESSO input):
```
&SYSTEM
  ibrav = 0, nat = 11, ntyp = 3
/
ATOMIC_SPECIES
Tm 168.93 Tm.upf
Zn 65.41 Zn.upf
Tc 98.00 Tc.upf
CELL_PARAMETERS angstrom
0.966 2.749 -3.980
6.334 -4.884 -1.836
-7.768 -2.874 -0.815
ATOMIC_POSITIONS angstrom
Tm 3.817 -3.373 -4.460
Tm -1.431 -3.836 -2.997
Tm -1.031 -0.987 -0.932
Tm 2.070 -1.596 -0.600
Tm 0.563 -4.021 -5.698
Tm 0.963 -1.173 -3.633
Tm -4.285 -1.635 -2.170
Tm -2.538 -3.412 -6.030
Zn 1.557 -3.982 -2.373
Zn -2.025 -1.026 -4.257
Tc 0.483 1.375 -1.990
```

=====

ii.
The following is a PBE-GGA calculation of a relaxed structure of Tm8Zn2Tc, from Alexandria via LeMat-Bulk. Values from VASP.

Summary:
Symmetry: C2/m
Density of states at the Fermi level, states/eV/atom: 0.564

Structure (Quantum ESPRESSO input):
```
&SYSTEM
  ibrav = 0, nat = 11, ntyp = 3
/
ATOMIC_SPECIES
Tm 168.93 Tm.upf
Zn 65.41 Zn.upf
Tc 98.00 Tc.upf
CELL_PARAMETERS angstrom
-1.934 2.664 3.920
0.440 -5.441 3.915
8.245 3.112 -1.389
ATOMIC_POSITIONS angstrom
Tm 6.175 0.554 2.671
Tm 1.815 -2.481 5.925
Tm 3.776 0.241 5.042
Tm 6.024 4.412 3.316
Tm 2.975 0.094 1.404
Tm 4.936 2.817 0.521
Tm 0.576 -0.218 3.775
Tm 0.727 -4.077 3.130
Zn 3.779 2.569 3.461
Zn 2.972 -2.234 2.985
Tc -0.967 1.332 1.960
```

=====

ii wins, 11.2 kJ/mol of atoms ahead of the next structure.